Below is a relaxed La4Rh6O19 crystal, with properties calculated at the PBE-GGA level.

Uncorrected formation energy = -4696 kJ/mol of formula units
Density = 6.68 Mg/m³

POSCAR file:
```
La4Rh6O19
1.0
-4.512 4.512 4.512
4.512 -4.512 4.512
4.512 4.512 -4.512
La Rh O
4 6 19
direct
0.000 0.000 0.323
0.000 0.323 0.000
0.323 0.000 0.000
0.677 0.677 0.677
0.163 0.500 0.663
0.337 0.837 0.500
0.500 0.337 0.837
0.500 0.663 0.163
0.663 0.163 0.500
0.837 0.500 0.337
0.000 0.000 0.000
0.000 0.349 0.349
0.000 0.651 0.651
0.033 0.678 0.280
0.247 0.644 0.967
0.280 0.033 0.678
0.322 0.356 0.602
0.349 0.000 0.349
0.349 0.349 0.000
0.356 0.602 0.322
0.398 0.753 0.720
0.602 0.322 0.356
0.644 0.967 0.247
0.651 0.000 0.651
0.651 0.651 0.000
0.678 0.280 0.033
0.720 0.398 0.753
0.753 0.720 0.398
0.967 0.247 0.644
```